A plane-wave DFT calculation with PBE was carried out for a relaxed USnTe2S crystal. Values from VASP.

Properties
N(E_F): 19.0 states/eV per cell
magnetization: 2.2 μB per formula unit
formation energy without anion corrections: -0.69 eV per atom
space group: P4/nmm

Structure (Quantum ESPRESSO input):
```
&SYSTEM
  ibrav = 0, nat = 10, ntyp = 4
/
ATOMIC_SPECIES
U 238.03 U.upf
Sn 118.71 Sn.upf
Te 127.60 Te.upf
S 32.06 S.upf
CELL_PARAMETERS angstrom
-2.1918 3.0699 -2.2811
-3.7909 -1.3952 1.7648
1.6547 9.2659 10.8802
ATOMIC_POSITIONS angstrom
U -0.0806 7.2205 5.5354
U -1.2561 2.8829 5.0866
Sn -0.9345 2.4389 -0.0792
Sn -0.4022 7.6644 10.7011
Te -0.7419 5.7619 8.4672
Te -1.6657 0.5888 2.3928
Te 0.3291 9.5145 8.2291
Te -0.5947 4.3414 2.1548
S 0.8274 4.6330 5.4401
S -2.1640 5.4703 5.1819
```


A plane-wave DFT calculation with PBE was carried out for a relaxed Y4SnTe2S crystal. Values from VASP.

Properties
N(E_F): 6.9 states/eV per cell
magnetization: 0.0 μB per formula unit
formation energy without anion corrections: -1.36 eV per atom
space group: Imma

Structure (Quantum ESPRESSO input):
```
&SYSTEM
  ibrav = 0, nat = 16, ntyp = 4
/
ATOMIC_SPECIES
Y 88.91 Y.upf
Sn 118.71 Sn.upf
Te 127.60 Te.upf
S 32.06 S.upf
CELL_PARAMETERS angstrom
-1.5248 -3.7572 7.5435
-4.1159 -6.3563 -4.0002
8.0596 2.0623 -2.2734
ATOMIC_POSITIONS angstrom
Y 4.5384 -3.6146 -3.5487
Y 1.8425 -3.4735 3.3799
Y 0.5764 -4.5778 -2.1101
Y -2.1196 -4.4367 4.8186
Y 3.6193 -5.5682 0.4967
Y 0.0316 -6.4861 1.5086
Y 2.3872 -1.5652 -0.2388
Y -1.2004 -2.4831 0.7731
Sn 6.0016 -1.1159 -4.2735
Sn 0.4471 -5.9042 4.4066
Te -0.7624 -1.8786 3.7717
Te 3.2674 -0.8474 2.6350
Te 4.0298 1.0311 -1.1367
Te -2.8203 -5.0568 1.7716
S 1.2095 -4.0256 0.6349
S 2.4189 -8.0513 1.2698
```


A plane-wave DFT calculation with PBE was carried out for a relaxed ZnSn2TeS crystal. Values from VASP.

Properties
N(E_F): 3.1 states/eV per cell
magnetization: 0.0 μB per formula unit
formation energy without anion corrections: 0.47 eV per atom
space group: P4/mmm

Structure (Quantum ESPRESSO input):
```
&SYSTEM
  ibrav = 0, nat = 5, ntyp = 4
/
ATOMIC_SPECIES
S 32.06 S.upf
Zn 65.41 Zn.upf
Te 127.60 Te.upf
Sn 118.71 Sn.upf
CELL_PARAMETERS angstrom
-0.9622 3.7777 -3.6953
2.9965 -2.3983 -3.2319
-4.1995 -2.8266 -1.7961
ATOMIC_POSITIONS angstrom
S -1.0826 -0.7236 -4.3617
Zn 0.0000 0.0000 0.0000
Te 1.4983 -1.1991 -1.6160
Sn -2.0998 -1.4133 -0.8981
Sn -0.4811 1.8888 -1.8477
```


A plane-wave DFT calculation with PBE was carried out for a relaxed ZnSnTeS2 crystal. Values from VASP.

Properties
N(E_F): 2.7 states/eV per cell
magnetization: 0.0 μB per formula unit
formation energy without anion corrections: 0.39 eV per atom
space group: P4/mmm

Structure (Quantum ESPRESSO input):
```
&SYSTEM
  ibrav = 0, nat = 5, ntyp = 4
/
ATOMIC_SPECIES
S 32.06 S.upf
Zn 65.41 Zn.upf
Te 127.60 Te.upf
Sn 118.71 Sn.upf
CELL_PARAMETERS angstrom
-0.9320 4.9779 -1.2300
-3.7599 0.1389 3.4111
3.3772 1.5366 3.6599
ATOMIC_POSITIONS angstrom
S 1.6886 0.7683 1.8299
S -0.4660 2.4890 -0.6150
Zn -1.8799 0.0695 1.7056
Te 0.0000 0.0000 0.0000
Sn -0.6573 3.3267 2.9205
```


A plane-wave DFT calculation with PBE was carried out for a relaxed Th3Sn5S12 crystal. Values from VASP.

Properties
N(E_F): 26.1 states/eV per cell
magnetization: 0.0 μB per formula unit
formation energy without anion corrections: -0.94 eV per atom
space group: Ia-3d

Structure (Quantum ESPRESSO input):
```
&SYSTEM
  ibrav = 0, nat = 80, ntyp = 3
/
ATOMIC_SPECIES
Th 232.04 Th.upf
Sn 118.71 Sn.upf
S 32.06 S.upf
CELL_PARAMETERS angstrom
14.0708 0.0000 0.0000
-4.6903 13.2661 0.0000
-4.6903 -6.6330 11.4887
ATOMIC_POSITIONS angstrom
Th 8.2080 4.1456 1.4361
Th 8.2080 9.1204 1.4361
Th -1.1726 5.8039 7.1805
Th 1.1726 -0.8291 4.3083
Th 10.5531 0.0000 2.8722
Th 1.1726 6.6330 2.8722
Th 3.5177 0.0000 8.6166
Th -5.8628 6.6330 8.6166
Th 3.5177 7.4622 7.1805
Th 5.8628 0.8291 4.3083
Th -3.5177 -2.4874 10.0527
Th -3.5177 2.4874 10.0527
Sn -1.1726 3.3165 2.8722
Sn -2.3451 6.6330 0.0000
Sn 0.0000 0.0000 0.0000
Sn 3.5177 2.4874 1.4361
Sn 4.6903 -3.3165 5.7444
Sn 4.6903 6.6330 0.0000
Sn -3.5177 7.4622 4.3083
Sn 5.8628 -4.1456 10.0527
Sn 5.8628 5.8039 4.3083
Sn 1.1726 -3.3165 8.6166
Sn 3.5177 9.9495 2.8722
Sn 2.3451 3.3165 5.7444
Sn 7.0354 0.0000 0.0000
Sn -2.3451 -3.3165 5.7444
Sn -1.1726 0.8291 7.1805
Sn -1.1726 10.7787 1.4361
Sn -4.6903 3.3165 5.7444
Sn 8.2080 -0.8291 7.1805
Sn 1.1726 4.1456 10.0527
Sn 5.8628 3.3165 8.6166
S 9.2722 1.4921 0.6349
S 0.1083 4.6124 4.7696
S 10.3111 2.9443 3.1698
S 6.1048 2.0435 1.6097
S 1.6840 5.1695 7.6840
S 9.7582 6.6387 1.9396
S -0.9306 7.5338 4.7795
S -3.7597 11.2225 1.6097
S 0.6611 8.0965 7.6840
S 6.6577 6.6274 1.9396
S 7.1437 3.5127 4.1347
S 7.1437 11.7740 0.6349
S -4.0291 5.9228 6.3793
S 2.7228 4.9504 0.9649
S -4.7985 9.7534 4.1347
S 2.4534 -2.0206 6.7191
S -0.6611 0.7533 2.5746
S 2.7228 8.3100 0.9747
S 6.1048 10.3218 3.1698
S -0.3777 4.9561 0.9747
S -3.0063 7.3863 8.9142
S 3.2757 5.7323 4.7795
S 6.3742 7.3433 6.3793
S 5.0680 -1.6826 10.5238
S 1.4146 0.9007 6.7093
S -1.6840 -0.7102 5.1094
S -0.3777 8.3156 0.9649
S -1.4146 -3.6888 8.3190
S 7.6965 -0.7533 2.5746
S 5.0680 1.6769 10.5140
S 1.9674 -1.6769 10.5140
S 2.2369 8.6536 4.7696
S 5.3514 5.8798 8.9142
S 9.4888 -3.1203 7.3540
S 8.7194 0.7102 5.1094
S -2.4534 -5.1409 10.8538
S 1.9674 1.6826 10.5238
S 4.0291 -1.4635 3.8047
S -1.9674 0.0057 9.5491
S -2.4534 3.1203 7.3540
S 8.4499 -4.5895 9.8791
S 5.6208 -0.9007 6.7093
S -1.4146 4.5895 9.8791
S -5.0680 -0.0057 9.5491
S 3.0063 1.4635 3.8047
S -5.6208 3.6888 8.3190
S 4.5820 2.0206 6.7191
S -4.5820 5.1409 10.8538
```


A plane-wave DFT calculation with PBE was carried out for a relaxed ThSn3S6 crystal. Values from VASP.

Properties
N(E_F): 0.1 states/eV per cell
magnetization: 0.0 μB per formula unit
formation energy without anion corrections: -0.82 eV per atom
space group: P2_1/m

Structure (Quantum ESPRESSO input):
```
&SYSTEM
  ibrav = 0, nat = 20, ntyp = 3
/
ATOMIC_SPECIES
Th 232.04 Th.upf
Sn 118.71 Sn.upf
S 32.06 S.upf
CELL_PARAMETERS angstrom
-3.9121 -0.7999 0.0437
0.8390 -3.5009 11.0359
-2.3007 11.2451 -0.1342
ATOMIC_POSITIONS angstrom
Th -4.4699 6.9416 0.5853
Th -0.9040 0.0026 10.3600
Sn -4.4918 7.3129 5.4252
Sn -0.8820 -0.3687 5.5201
Sn -3.4338 2.2440 7.3575
Sn -1.9400 4.7002 3.5878
Sn -3.0647 0.1283 1.6649
Sn -2.3091 6.8160 9.2804
S -3.9870 4.8407 5.3671
S -1.3869 2.1035 5.5782
S -2.3810 -2.7458 10.2762
S -2.9928 9.6901 0.6691
S -2.7708 -1.1956 3.7476
S -2.6030 8.1398 7.1977
S -2.9186 -0.2203 8.3698
S -2.4552 7.1646 2.5755
S -3.8919 4.1393 1.0349
S -1.4820 2.8050 9.9104
S -3.9647 4.9294 8.9814
S -1.4091 2.0149 1.9639
```


One value per record, in order, for total energy: -5.833, -6.389, -2.844, -2.940, -5.532, -5.239 eV per atom.